A relaxed structure of Na2CrMoS. Source: Alexandria, functional PBE-GGA.

Results
As for the energy: -4.33 eV/atom. As for the formation energy without anion corrections: 1.109 eV per atom.

Cell: 5.325 5.325 4.487 Å, 90.00 90.00 90.00°
Sites, in units of the cell vectors:
Na 0.000 0.500 0.000
Na 0.500 0.000 0.000
Cr 0.000 0.000 0.000
Mo 0.000 0.000 0.500
S 0.500 0.500 0.500

A relaxed structure of Na3Cr3MoS8. Source: Alexandria, functional PBE-GGA.

Results
As for the energy: -5.94 eV/atom. As for the formation energy without anion corrections: -0.825 eV per atom.

Cell: 7.774 7.774 7.774 Å, 54.59 54.59 54.59°
Sites, in units of the cell vectors:
Na 0.000 0.500 0.500
Na 0.500 0.000 0.500
Na 0.500 0.500 0.000
Cr 0.000 0.000 0.500
Cr 0.000 0.500 0.000
Cr 0.500 0.000 0.000
Mo 0.500 0.500 0.500
S 0.228 0.736 0.736
S 0.232 0.232 0.232
S 0.264 0.264 0.772
S 0.264 0.772 0.264
S 0.736 0.228 0.736
S 0.736 0.736 0.228
S 0.768 0.768 0.768
S 0.772 0.264 0.264

A relaxed structure of Na2CrMoS. Source: Alexandria, functional PBE-GGA.

Results
As for the energy: -4.74 eV/atom. As for the formation energy without anion corrections: 0.708 eV per atom.

Cell: 5.209 5.209 4.590 Å, 90.00 90.00 90.00°
Sites, in units of the cell vectors:
Na 0.000 0.500 0.000
Na 0.500 0.000 0.000
Cr 0.000 0.000 0.500
Mo 0.500 0.500 0.500
S 0.000 0.000 0.000

A relaxed structure of Na2CrSbMo. Source: Alexandria, functional PBE-GGA.

Results
As for the energy: -4.18 eV/atom. As for the formation energy without anion corrections: 1.263 eV per atom.

Cell: 5.393 5.393 5.078 Å, 90.00 90.00 90.00°
Sites, in units of the cell vectors:
Na 0.000 0.500 0.000
Na 0.500 0.000 0.000
Cr 0.000 0.000 0.000
Sb 0.000 0.000 0.500
Mo 0.500 0.500 0.500

A relaxed structure of Na3Cr3MoSe8. Source: Alexandria, functional PBE-GGA.

Results
As for the energy: -5.45 eV/atom. As for the formation energy without anion corrections: -0.685 eV per atom.

Cell: 8.182 8.182 8.182 Å, 54.47 54.47 54.47°
Sites, in units of the cell vectors:
Na 0.000 0.500 0.500
Na 0.500 0.000 0.500
Na 0.500 0.500 0.000
Cr 0.000 0.000 0.500
Cr 0.000 0.500 0.000
Cr 0.500 0.000 0.000
Mo 0.500 0.500 0.500
Se 0.228 0.737 0.737
Se 0.233 0.233 0.233
Se 0.263 0.263 0.772
Se 0.263 0.772 0.263
Se 0.737 0.228 0.737
Se 0.737 0.737 0.228
Se 0.767 0.767 0.767
Se 0.772 0.263 0.263

A relaxed structure of NaCrTcMo2. Source: Alexandria, functional PBE-GGA.

Results
Its energy relative to the elements is 2.656 eV/atom. As for the energy: -5.94 eV/atom.

Cell: 4.482 4.482 4.123 Å, 90.00 90.00 90.00°
Sites, in units of the cell vectors:
Na 0.000 0.000 0.000
Cr 0.000 0.000 0.500
Tc 0.500 0.500 0.500
Mo 0.000 0.500 0.000
Mo 0.500 0.000 0.000

A relaxed structure of NaCr2TcMo. Source: Alexandria, functional PBE-GGA.

Results
Its energy relative to the elements is 1.350 eV/atom. As for the energy: -7.00 eV/atom.

Cell: 4.826 4.826 4.726 Å, 90.00 90.00 90.00°
Sites, in units of the cell vectors:
Na 0.000 0.000 0.000
Cr 0.000 0.500 0.500
Cr 0.500 0.000 0.500
Tc 0.500 0.500 0.000
Mo 0.500 0.500 0.500

A relaxed structure of NbCrMo. Source: Alexandria, functional PBE-GGA.

Results
Its energy relative to the elements is 0.421 eV/atom. As for the energy: -9.75 eV/atom.

Cell: 6.266 6.266 6.266 Å, 27.91 27.91 27.91°
Sites, in units of the cell vectors:
Nb 0.000 0.000 0.000
Cr 0.774 0.774 0.774
Mo 0.208 0.208 0.208

A relaxed structure of Nb2CrMo6. Source: Alexandria, functional PBE-GGA.

Results
Its energy relative to the elements is 0.450 eV/atom. As for the energy: -10.08 eV/atom.

Cell: 4.516 5.440 6.763 Å, 82.14 70.54 89.83°
Sites, in units of the cell vectors:
Nb 0.104 0.479 0.292
Nb 0.896 0.521 0.708
Cr 0.000 0.000 0.500
Mo 0.295 0.334 0.912
Mo 0.305 0.857 0.888
Mo 0.499 0.749 0.501
Mo 0.501 0.251 0.499
Mo 0.695 0.143 0.112
Mo 0.705 0.666 0.088

A relaxed structure of Nb4CrMo. Source: Alexandria, functional PBE-GGA.

Results
Its energy relative to the elements is 0.596 eV/atom. As for the energy: -9.53 eV/atom.

Cell: 4.334 4.334 6.192 Å, 90.00 90.00 90.00°
Sites, in units of the cell vectors:
Nb 0.000 0.500 0.240
Nb 0.000 0.500 0.760
Nb 0.500 0.000 0.240
Nb 0.500 0.000 0.760
Cr 0.000 0.000 0.000
Mo 0.500 0.500 0.500

A relaxed structure of Nb3CrMo. Source: Alexandria, functional PBE-GGA.

Results
Its energy relative to the elements is 1.068 eV/atom. As for the energy: -9.07 eV/atom.

Cell: 4.565 4.565 4.565 Å, 90.00 90.00 90.00°
Sites, in units of the cell vectors:
Nb 0.000 0.000 0.500
Nb 0.000 0.500 0.000
Nb 0.500 0.000 0.000
Cr 0.000 0.000 0.000
Mo 0.500 0.500 0.500

A relaxed structure of NbCrMo. Source: Alexandria, functional PBE-GGA.

Results
Its energy relative to the elements is 0.050 eV/atom. As for the energy: -10.12 eV/atom.

Cell: 4.387 4.387 2.753 Å, 90.00 90.00 120.00°
Sites, in units of the cell vectors:
Nb 0.000 0.000 0.000
Cr 0.667 0.333 0.661
Mo 0.333 0.667 0.340

A relaxed structure of NbCr3Mo. Source: Alexandria, functional PBE-GGA.

Results
Its energy relative to the elements is 1.446 eV/atom. As for the energy: -8.51 eV/atom.

Cell: 4.500 4.500 4.500 Å, 90.00 90.00 90.00°
Sites, in units of the cell vectors:
Nb 0.000 0.000 0.000
Cr 0.000 0.500 0.500
Cr 0.500 0.000 0.500
Cr 0.500 0.500 0.000
Mo 0.500 0.500 0.500

A relaxed structure of Nb2CrMo2. Source: Alexandria, functional PBE-GGA.

Results
Its energy relative to the elements is 0.017 eV/atom. As for the energy: -10.27 eV/atom.

Cell: 11.443 11.329 2.755 Å, 85.41 80.71 13.89°
Sites, in units of the cell vectors:
Nb 0.000 0.000 0.000
Nb 0.388 0.388 0.612
Cr 0.793 0.793 0.207
Mo 0.204 0.204 0.796
Mo 0.604 0.604 0.396

A relaxed structure of Nb4CrMo2. Source: Alexandria, functional PBE-GGA.

Results
Its energy relative to the elements is 0.270 eV/atom. As for the energy: -9.95 eV/atom.

Cell: 5.468 5.468 5.468 Å, 109.92 109.92 108.57°
Sites, in units of the cell vectors:
Nb 0.000 0.000 0.500
Nb 0.000 0.500 0.000
Nb 0.500 0.000 0.000
Nb 0.500 0.500 0.500
Cr 0.000 0.000 0.000
Mo 0.000 0.500 0.500
Mo 0.500 0.000 0.500

A relaxed structure of NbCr4Mo. Source: Alexandria, functional PBE-GGA.

Results
Its energy relative to the elements is 0.020 eV/atom. As for the energy: -9.88 eV/atom.

Cell: 4.867 4.867 4.867 Å, 60.00 60.00 60.00°
Sites, in units of the cell vectors:
Nb 0.000 0.000 0.000
Cr 0.375 0.375 0.375
Cr 0.375 0.375 0.875
Cr 0.375 0.875 0.375
Cr 0.875 0.375 0.375
Mo 0.750 0.750 0.750

A relaxed structure of Nb2CrMo. Source: Alexandria, functional PBE-GGA.

Results
Its energy relative to the elements is -0.027 eV/atom. As for the energy: -10.18 eV/atom.

Cell: 4.491 4.491 3.177 Å, 90.00 90.00 90.00°
Sites, in units of the cell vectors:
Nb 0.000 0.500 0.000
Nb 0.500 0.000 0.000
Cr 0.000 0.000 0.500
Mo 0.500 0.500 0.500

A relaxed structure of NbCrMo. Source: Alexandria, functional PBE-GGA.

Results
Its energy relative to the elements is -0.003 eV/atom. As for the energy: -10.18 eV/atom.

Cell: 5.202 5.202 5.202 Å, 145.12 145.12 50.15°
Sites, in units of the cell vectors:
Nb 0.000 0.000 0.000
Cr 0.333 0.333 0.000
Mo 0.679 0.679 0.000

A relaxed structure of NbCrMo2. Source: Alexandria, functional PBE-GGA.

Results
Its energy relative to the elements is 0.679 eV/atom. As for the energy: -9.66 eV/atom.

Cell: 5.644 5.644 5.644 Å, 102.73 102.73 124.01°
Sites, in units of the cell vectors:
Nb 0.000 0.000 0.000
Nb 0.750 0.250 0.500
Cr 0.250 0.750 0.500
Cr 0.500 0.500 0.000
Mo 0.156 0.625 0.031
Mo 0.375 0.406 0.531
Mo 0.594 0.125 0.969
Mo 0.875 0.844 0.469

A relaxed structure of Nb2CrMo. Source: Alexandria, functional PBE-GGA.

Results
Its energy relative to the elements is -0.037 eV/atom. As for the energy: -10.19 eV/atom.

Cell: 3.175 3.175 6.339 Å, 90.00 90.00 90.00°
Sites, in units of the cell vectors:
Nb 0.000 0.000 0.243
Nb 0.000 0.000 0.757
Cr 0.500 0.500 0.000
Mo 0.500 0.500 0.500